Material: Sr2ScMn
Method: DFT, PBE
State: optimized geometry

Lattice parameters (Å, degrees): 3.757 3.757 9.367 90.00 90.00 90.03
Site moments in Bohr magnetons follow the coordinates.
Element x y z (fractional)
Sr 0.500 0.500 0.316  -0.05
Mn 0.000 0.000 0.553  3.60
Sc 0.500 0.500 0.678  -0.39
Sr 0.000 0.000 0.953  -0.02

The total moment is 0.72 μB/atom. The value obtained for the total energy is -17.7 eV per formula unit. The calculation puts the formation energy from the elements at 0.294 eV/atom. The value obtained for the energy above the most stable polymorph in this dataset is 0.000 eV/atom.